[1]
First-principles (PBE-GGA) data for a relaxed structure of GaSi3Pt, as listed in the Alexandria database.

For the uncorrected formation energy, the calculation gives 0.53 eV/atom. The value obtained for the magnetic moment is 0.00 μB/f.u. The energy relative to the lowest polymorph listed for this composition comes out at 0 meV/atom.

It has space group Pm-3m (No. 221), with a = 4.7495 Å, b = 4.7495 Å, c = 4.7495 Å, α = 90.00°, β = 90.00° and γ = 90.00°. The asymmetric unit holds Ga at (0.0000, 0.0000, 0.0000), Si at (0.0000, 0.5000, 0.5000) and Pt at (0.5000, 0.5000, 0.5000).



[2]
First-principles (PBE-GGA) data for a relaxed structure of Dy2ZnHg8, as listed in the Alexandria database.

The value obtained for the energy of formation from the pure elements is -2.559 eV per formula unit. The value obtained for the magnetic moment is 0.00 μB/f.u.

It has space group P4/mmm (No. 123), with a = 4.6110 Å, b = 4.6110 Å, c = 12.4224 Å, α = 90.00°, β = 90.00° and γ = 90.00°. The asymmetric unit holds Dy at (0.0000, 0.0000, 0.1932), Zn at (0.0000, 0.0000, 0.5000), Hg at (0.0000, 0.5000, 0.0000), Hg at (0.0000, 0.5000, 0.3709) and Hg at (0.5000, 0.5000, 0.1871).



[3]
First-principles (PBE-GGA) data for a relaxed structure of Pm6Mg2Ir, as listed in the Alexandria database.

The value obtained for the energy of formation from the pure elements is -0.803 eV per formula unit. The value obtained for the magnetic moment is 0.00 μB/f.u.

It has space group Cmmm (No. 65), with a = 6.9684 Å, b = 15.8765 Å, c = 4.9886 Å, α = 90.00°, β = 90.00° and γ = 90.00°. The asymmetric unit holds Pm at (0.2409, 0.0000, 0.0000), Pm at (0.2487, 0.1479, 0.5000), Mg at (0.0000, 0.2539, 0.0000) and Ir at (0.0000, 0.0000, 0.5000).